# 1
First-principles (GGA-PBEsol) data for crystalline Ca5Hg at its relaxed geometry, as listed in Alexandria via LeMat-Bulk.

The calculation puts the energy above the most stable polymorph in this dataset at 0 meV per atom. The magnetization comes out at 0.00 μB per formula unit. The value obtained for the formation energy is -210 meV/atom.

It has space group P4/mmm (No. 123), with a = 3.830 Å, b = 3.830 Å, c = 14.418 Å, α = 90.00°, β = 90.00° and γ = 90.00°. Symmetry generates all atoms from Ca at (0.000, 0.000, 0.000), Ca at (0.000, 0.000, 0.380), Ca at (0.500, 0.500, 0.188) and Hg at (0.500, 0.500, 0.500).


# 2
First-principles (GGA-PBEsol) data for crystalline Ca3Hg at its relaxed geometry, as listed in Alexandria via LeMat-Bulk.

The calculation puts the energy above the most stable polymorph in this dataset at 116 meV per atom. The magnetization comes out at 0.00 μB per formula unit. The value obtained for the formation energy is -223 meV/atom.

It has space group P-6m2 (No. 187), with a = 3.9003 Å, b = 3.9003 Å, c = 10.6422 Å, α = 90.00°, β = 90.00° and γ = 120.00°. Symmetry generates all atoms from Ca at (0.0000, 0.0000, 0.0000), Ca at (0.6667, 0.3333, 0.2990) and Hg at (0.0000, 0.0000, 0.5000).


# 3
First-principles (GGA-PBEsol) data for crystalline Ca5Hg3 at its relaxed geometry, as listed in Alexandria via LeMat-Bulk.

The magnetization comes out at 0.00 μB per formula unit. The value obtained for the formation energy is -484 meV/atom.

It has space group I4/mcm (No. 140), with a = 8.069 Å, b = 8.069 Å, c = 14.498 Å, α = 90.00°, β = 90.00° and γ = 90.00°. Symmetry generates all atoms from Ca at (0.000, 0.000, 0.000), Ca at (0.165, 0.335, 0.148), Hg at (0.000, 0.000, 0.250) and Hg at (0.133, 0.367, 0.500).


# 4
First-principles (GGA-PBEsol) data for crystalline Ca3Hg2 at its relaxed geometry, as listed in Alexandria via LeMat-Bulk.

The magnetization comes out at 0.00 μB per formula unit. The value obtained for the formation energy is -519 meV/atom.

It has space group P4/mbm (No. 127), with a = 8.324 Å, b = 8.324 Å, c = 4.188 Å, α = 90.00°, β = 90.00° and γ = 90.00°. Symmetry generates all atoms from Ca at (0.000, 0.000, 0.000), Ca at (0.157, 0.343, 0.500) and Hg at (0.139, 0.639, 0.000).


# 5
First-principles (GGA-PBEsol) data for crystalline Ca3Hg at its relaxed geometry, as listed in Alexandria via LeMat-Bulk.

The calculation puts the energy above the most stable polymorph in this dataset at 16 meV per atom. The magnetization comes out at 0.00 μB per formula unit. The value obtained for the formation energy is -322 meV/atom.

It has space group P4/mmm (No. 123), with a = 3.785 Å, b = 3.785 Å, c = 9.170 Å, α = 90.00°, β = 90.00° and γ = 90.00°. Symmetry generates all atoms from Ca at (0.000, 0.000, 0.000), Ca at (0.500, 0.500, 0.308) and Hg at (0.000, 0.000, 0.500).


# 6
First-principles (GGA-PBEsol) data for crystalline Ca3Hg at its relaxed geometry, as listed in Alexandria via LeMat-Bulk.

The calculation puts the energy above the most stable polymorph in this dataset at 98 meV per atom. The magnetization comes out at 0.00 μB per formula unit. The value obtained for the formation energy is -240 meV/atom.

It has space group Pmmn (No. 59, origin choice 2), with a = 7.070 Å, b = 16.919 Å, c = 6.366 Å, α = 90.00°, β = 90.00° and γ = 90.00°. Symmetry generates all atoms from Ca at (0.002, 0.065, 0.232), Ca at (0.014, 0.750, 0.009), Ca at (0.250, 0.120, 0.700), Ca at (0.250, 0.750, 0.496), Hg at (0.250, 0.250, 0.366) and Hg at (0.250, 0.596, 0.194).


# 7
First-principles (GGA-PBEsol) data for crystalline Ca4Hg9 at its relaxed geometry, as listed in Alexandria via LeMat-Bulk.

The magnetization comes out at 0.00 μB per formula unit. The value obtained for the formation energy is -472 meV/atom.

It has space group P-43m (No. 215), with a = 10.806 Å, b = 10.806 Å, c = 10.806 Å, α = 90.00°, β = 90.00° and γ = 90.00°. Symmetry generates all atoms from Ca at (0.039, 0.309, 0.309), Ca at (0.360, 0.360, 0.640), Hg at (0.000, 0.000, 0.345), Hg at (0.106, 0.106, 0.106), Hg at (0.141, 0.500, 0.500), Hg at (0.172, 0.172, 0.525), Hg at (0.186, 0.186, 0.814) and Hg at (0.343, 0.343, 0.343).


# 8
First-principles (GGA-PBEsol) data for crystalline Ca5Hg at its relaxed geometry, as listed in Alexandria via LeMat-Bulk.

The calculation puts the energy above the most stable polymorph in this dataset at 106 meV per atom. The magnetization comes out at 0.00 μB per formula unit. The value obtained for the formation energy is -104 meV/atom.

It has space group P-62m (No. 189), with a = 6.3455 Å, b = 6.3455 Å, c = 5.8378 Å, α = 90.00°, β = 90.00° and γ = 120.00°. Symmetry generates all atoms from Ca at (0.0000, 0.3129, 0.0000), Ca at (0.3333, 0.6667, 0.5000) and Hg at (0.0000, 0.0000, 0.5000).


# 9
First-principles (GGA-PBEsol) data for crystalline CaHg7 at its relaxed geometry, as listed in Alexandria via LeMat-Bulk.

The magnetization comes out at 0.00 μB per formula unit. The value obtained for the formation energy is -197 meV/atom.

It has space group Fm-3m (No. 225), with a = 9.128 Å, b = 9.128 Å, c = 9.128 Å, α = 90.00°, β = 90.00° and γ = 90.00°. Symmetry generates all atoms from Ca at (0.000, 0.000, 0.000), Hg at (0.000, 0.000, 0.500) and Hg at (0.000, 0.250, 0.250).


# 10
First-principles (GGA-PBEsol) data for crystalline Ca3Hg at its relaxed geometry, as listed in Alexandria via LeMat-Bulk.

The calculation puts the energy above the most stable polymorph in this dataset at 50 meV per atom. The magnetization comes out at 0.00 μB per formula unit. The value obtained for the formation energy is -288 meV/atom.

It has space group Cmcm (No. 63), with a = 9.650 Å, b = 12.406 Å, c = 4.531 Å, α = 90.00°, β = 90.00° and γ = 90.00°. Symmetry generates all atoms from Ca at (0.000, 0.113, 0.250), Ca at (0.197, 0.373, 0.250) and Hg at (0.000, 0.280, 0.750).


# 11
First-principles (GGA-PBEsol) data for crystalline Ca3Hg at its relaxed geometry, as listed in Alexandria via LeMat-Bulk.

The calculation puts the energy above the most stable polymorph in this dataset at 61 meV per atom. The magnetization comes out at 0.00 μB per formula unit. The value obtained for the formation energy is -278 meV/atom.

It has space group Immm (No. 71), with a = 3.882 Å, b = 5.730 Å, c = 11.804 Å, α = 90.00°, β = 90.00° and γ = 90.00°. Symmetry generates all atoms from Ca at (0.000, 0.000, 0.000), Ca at (0.000, 0.500, 0.203) and Hg at (0.000, 0.000, 0.500).


# 12
First-principles (GGA-PBEsol) data for crystalline Ca3Hg5 at its relaxed geometry, as listed in Alexandria via LeMat-Bulk.

The magnetization comes out at 0.00 μB per formula unit. The value obtained for the formation energy is -513 meV/atom.

It has space group Cmmm (No. 65), with a = 7.703 Å, b = 10.142 Å, c = 5.061 Å, α = 90.00°, β = 90.00° and γ = 90.00°. Symmetry generates all atoms from Ca at (0.000, 0.000, 0.000), Ca at (0.000, 0.282, 0.500), Hg at (0.000, 0.500, 0.000), Hg at (0.218, 0.000, 0.500) and Hg at (0.250, 0.250, 0.000).


# 13
First-principles (GGA-PBEsol) data for crystalline CaHoHg2 at its relaxed geometry, as listed in Alexandria via LeMat-Bulk.

The magnetization comes out at 0.00 μB per formula unit. The value obtained for the formation energy is -606 meV/atom.

It has space group Fm-3m (No. 225), with a = 7.317 Å, b = 7.317 Å, c = 7.317 Å, α = 90.00°, β = 90.00° and γ = 90.00°. Symmetry generates all atoms from Ca at (0.000, 0.000, 0.000), Ho at (0.000, 0.000, 0.500) and Hg at (0.250, 0.250, 0.250).


# 14
First-principles (GGA-PBEsol) data for crystalline Ca2HgI at its relaxed geometry, as listed in Alexandria via LeMat-Bulk.

Its formation energy without anion corrections is -2.5 eV per formula unit. The magnetization comes out at 0.00 μB per formula unit.

It has space group I-42d (No. 122), with a = 8.188 Å, b = 8.188 Å, c = 7.910 Å, α = 90.00°, β = 90.00° and γ = 90.00°. Symmetry generates all atoms from Ca at (0.236, 0.750, 0.125), Hg at (0.000, 0.000, 0.000) and I at (0.000, 0.000, 0.500).


# 15
First-principles (GGA-PBEsol) data for crystalline CaHg2I2 at its relaxed geometry, as listed in Alexandria via LeMat-Bulk.

Its formation energy without anion corrections is -3.8 eV per formula unit. The calculation puts the energy above the most stable polymorph in this dataset at 0 meV per atom. The magnetization comes out at 0.00 μB per formula unit.

It has space group I4/mmm (No. 139), with a = 4.020 Å, b = 4.020 Å, c = 20.349 Å, α = 90.00°, β = 90.00° and γ = 90.00°. Symmetry generates all atoms from Ca at (0.000, 0.000, 0.000), Hg at (0.000, 0.500, 0.250) and I at (0.000, 0.000, 0.411).


# 16
First-principles (GGA-PBEsol) data for crystalline CaHg2I2 at its relaxed geometry, as listed in Alexandria via LeMat-Bulk.

Its formation energy without anion corrections is -3.2 eV per formula unit. The calculation puts the energy above the most stable polymorph in this dataset at 119 meV per atom. The magnetization comes out at 0.00 μB per formula unit.

It has space group P4/mbm (No. 127), with a = 8.014 Å, b = 8.014 Å, c = 6.035 Å, α = 90.00°, β = 90.00° and γ = 90.00°. Symmetry generates all atoms from Ca at (0.000, 0.000, 0.000), Hg at (0.136, 0.364, 0.500) and I at (0.167, 0.667, 0.000).


# 17
First-principles (GGA-PBEsol) data for crystalline CaHgI3 at its relaxed geometry, as listed in Alexandria via LeMat-Bulk.

Its formation energy without anion corrections is -3.3 eV per formula unit. The magnetization comes out at 0.00 μB per formula unit.

It has space group Pm-3m (No. 221), with a = 5.985 Å, b = 5.985 Å, c = 5.985 Å, α = 90.00°, β = 90.00° and γ = 90.00°. Symmetry generates all atoms from Ca at (0.000, 0.000, 0.000), Hg at (0.500, 0.500, 0.500) and I at (0.000, 0.000, 0.500).


# 18
First-principles (GGA-PBEsol) data for crystalline CaHgTe2I at its relaxed geometry, as listed in Alexandria via LeMat-Bulk.

Its formation energy without anion corrections is -1.1 eV per formula unit. The magnetization comes out at 0.00 μB per formula unit.

It has space group P4/mmm (No. 123), with a = 5.516 Å, b = 5.516 Å, c = 5.891 Å, α = 90.00°, β = 90.00° and γ = 90.00°. Symmetry generates all atoms from Ca at (0.000, 0.000, 0.000), Hg at (0.500, 0.500, 0.500), Te at (0.000, 0.500, 0.500) and I at (0.500, 0.500, 0.000).


# 19
First-principles (GGA-PBEsol) data for crystalline Ca2InHg at its relaxed geometry, as listed in Alexandria via LeMat-Bulk.

The magnetization comes out at 0.00 μB per formula unit. The value obtained for the formation energy is -564 meV/atom.

It has space group P4/mmm (No. 123), with a = 3.642 Å, b = 3.642 Å, c = 7.944 Å, α = 90.00°, β = 90.00° and γ = 90.00°. Symmetry generates all atoms from Ca at (0.000, 0.000, 0.239), In at (0.500, 0.500, 0.500) and Hg at (0.500, 0.500, 0.000).


# 20
First-principles (GGA-PBEsol) data for crystalline CaIn2Hg at its relaxed geometry, as listed in Alexandria via LeMat-Bulk.

The magnetization comes out at 0.00 μB per formula unit. The value obtained for the formation energy is -311 meV/atom.

It has space group Cm (No. 8), with a = 10.239 Å, b = 3.578 Å, c = 5.619 Å, α = 90.00°, β = 102.08° and γ = 90.00°. Symmetry generates all atoms from Ca at (0.000, 0.000, 0.000), In at (0.008, 0.500, 0.512), In at (0.260, 0.500, 0.283) and Hg at (0.253, 0.000, 0.768).


# 21
First-principles (GGA-PBEsol) data for crystalline CaInHg2 at its relaxed geometry, as listed in Alexandria via LeMat-Bulk.

The magnetization comes out at 0.00 μB per formula unit. The value obtained for the formation energy is -413 meV/atom.

It has space group P4/mmm (No. 123), with a = 4.756 Å, b = 4.756 Å, c = 4.219 Å, α = 90.00°, β = 90.00° and γ = 90.00°. Symmetry generates all atoms from Ca at (0.000, 0.000, 0.000), In at (0.500, 0.500, 0.000) and Hg at (0.000, 0.500, 0.500).


# 22
First-principles (GGA-PBEsol) data for crystalline Ca2InHg at its relaxed geometry, as listed in Alexandria via LeMat-Bulk.

The magnetization comes out at 0.00 μB per formula unit. The value obtained for the formation energy is -561 meV/atom.

It has space group Fm-3m (No. 225), with a = 7.508 Å, b = 7.508 Å, c = 7.508 Å, α = 90.00°, β = 90.00° and γ = 90.00°. Symmetry generates all atoms from Ca at (0.250, 0.250, 0.250), In at (0.000, 0.000, 0.000) and Hg at (0.000, 0.000, 0.500).


# 23
First-principles (GGA-PBEsol) data for crystalline CaIn2Hg at its relaxed geometry, as listed in Alexandria via LeMat-Bulk.

The magnetization comes out at 0.00 μB per formula unit. The value obtained for the formation energy is -389 meV/atom.

It has space group P4/mmm (No. 123), with a = 4.532 Å, b = 4.532 Å, c = 4.691 Å, α = 90.00°, β = 90.00° and γ = 90.00°. Symmetry generates all atoms from Ca at (0.000, 0.000, 0.000), In at (0.000, 0.500, 0.500) and Hg at (0.500, 0.500, 0.000).


# 24
First-principles (GGA-PBEsol) data for crystalline CaIn2Hg at its relaxed geometry, as listed in Alexandria via LeMat-Bulk.

The magnetization comes out at 0.00 μB per formula unit. The value obtained for the formation energy is -327 meV/atom.

It has space group Pm (No. 6), with a = 3.401 Å, b = 4.906 Å, c = 6.059 Å, α = 90.00°, β = 90.14° and γ = 90.00°. Symmetry generates all atoms from Ca at (0.000, 0.000, 0.000), In at (0.498, 0.500, 0.751), In at (0.503, 0.000, 0.490) and Hg at (0.500, 0.500, 0.228).